Density functional theory data (GGA-PBE) for crystalline Li2Tm3Tl4 at its relaxed geometry.

Calculated values
As for the total magnetization: 0.0000 μB per atom. The formation energy comes out at -5.9 kcal/mol of atoms. The energy comes out at -3.2236 eV/atom. As for the space group: C2/m (12).

Cell lengths 5.9621, 5.9621, 9.3328 Å; angles 116.24, 116.24, 48.45 degrees
Closest atoms and distances in Å follow each position.
Fractional positions:
Li 0.1184 0.1184 0.2929  3 Tl 2.72-2.74
Li 0.8816 0.8816 0.7071  3 Tl 2.72-2.74
Tm 0.1602 0.1602 0.6614  7 Tl 3.21-3.36, 4 Li 3.24-3.31, 2 Tm 3.32-3.51
Tm 0.5000 0.5000 0.0000  8 Tl 3.28-3.42, 4 Li 3.42, 2 Tm 3.51
Tm 0.8398 0.8398 0.3386  7 Tl 3.21-3.36, 4 Li 3.24-3.31, 2 Tm 3.32-3.51
Tl 0.2262 0.2262 0.0835  1 Li 2.72
Tl 0.4381 0.4381 0.6196  2 Li 2.74
Tl 0.5619 0.5619 0.3804  2 Li 2.74
Tl 0.7738 0.7738 0.9165  1 Li 2.72



Density functional theory data (GGA-PBE) for crystalline BaLa2TbTl4 at its relaxed geometry.

Calculated values
As for the total magnetization: 0.0000 μB per atom. The formation energy comes out at -8.1 kcal/mol of atoms. The energy comes out at -3.5835 eV/atom. As for the space group: R-3m (166).

Cell lengths 9.9431, 9.9431, 9.9431 Å; angles 33.03, 33.03, 33.03 degrees
Closest atoms and distances in Å follow each position.
Fractional positions:
Ba 0.0000 0.0000 0.0000  8 Tl 3.58-3.66
La 0.2496 0.2496 0.2496  7 Tl 3.38-3.51
La 0.7504 0.7504 0.7504  7 Tl 3.38-3.51
Tb 0.5000 0.5000 0.5000  8 Tl 3.24-3.43
Tl 0.1298 0.1298 0.1298  4 La 3.38-3.51, 3 Tb 3.43, 1 Ba 3.66
Tl 0.3852 0.3852 0.3852  1 Tb 3.24, 3 La 3.39, 3 Ba 3.58
Tl 0.6148 0.6148 0.6148  1 Tb 3.24, 3 La 3.39, 3 Ba 3.58
Tl 0.8702 0.8702 0.8702  4 La 3.38-3.51, 3 Tb 3.43, 1 Ba 3.66



Density functional theory data (GGA-PBE) for crystalline Cd2AgPb at its relaxed geometry.

Calculated values
As for the total magnetization: 0.0000 μB per atom. The formation energy comes out at 0.8 kcal/mol of atoms. The energy comes out at -2.0638 eV/atom. As for the space group: P2_1/m (11).

Cell lengths 4.4276, 8.3148, 5.6841 Å; angles 90.00, 112.02, 90.00 degrees
Closest atoms and distances in Å follow each position.
Fractional positions:
Cd 0.1344 0.0547 0.2738  3 Ag 2.88-2.94, 1 Cd 3.03
Cd 0.1344 0.4453 0.2738  3 Ag 2.88-2.94, 1 Cd 3.03
Cd 0.8656 0.5547 0.7262  3 Ag 2.88-2.94, 1 Cd 3.03
Cd 0.8656 0.9453 0.7262  3 Ag 2.88-2.94, 1 Cd 3.03
Ag 0.2691 0.7500 0.5340  6 Cd 2.88-2.94, 3 Pb 3.05-3.17
Ag 0.7309 0.2500 0.4660  6 Cd 2.88-2.94, 3 Pb 3.05-3.17
Pb 0.4430 0.2500 0.8880  3 Ag 3.05-3.17, 2 Cd 3.40
Pb 0.5570 0.7500 0.1120  3 Ag 3.05-3.17, 2 Cd 3.40



Density functional theory data (GGA-PBE) for crystalline Pm2Tl3Rh2 at its relaxed geometry.

Calculated values
As for the total magnetization: 0.0000 μB per atom. The formation energy comes out at -8.8 kcal/mol of atoms. The energy comes out at -4.8538 eV/atom. As for the space group: C2/m (12).

Cell lengths 10.8046, 4.0448, 8.0578 Å; angles 90.00, 98.32, 90.00 degrees
Closest atoms and distances in Å follow each position.
Fractional positions:
Pm 0.1199 0.0000 0.3648  5 Rh 2.95-3.10
Pm 0.3801 0.5000 0.6352  5 Rh 2.95-3.10
Pm 0.6199 0.5000 0.3648  5 Rh 2.95-3.10
Pm 0.8801 0.0000 0.6352  5 Rh 2.95-3.10
Tl 0.0000 0.5000 0.0000  6 Tl 3.32-3.33, 2 Rh 3.34, 4 Pm 3.65
Tl 0.1989 0.0000 0.8427  2 Rh 2.80
Tl 0.3011 0.5000 0.1573  2 Rh 2.80
Tl 0.5000 0.0000 0.0000  6 Tl 3.32-3.33, 2 Rh 3.34, 4 Pm 3.65
Tl 0.6989 0.5000 0.8427  2 Rh 2.80
Tl 0.8011 0.0000 0.1573  2 Rh 2.80
Rh 0.0965 0.5000 0.6250  1 Rh 2.68, 2 Tl 2.80, 2 Pm 2.95
Rh 0.4035 0.0000 0.3750  1 Rh 2.68, 2 Tl 2.80, 2 Pm 2.95
Rh 0.5965 0.0000 0.6250  1 Rh 2.68, 2 Tl 2.80, 2 Pm 2.95
Rh 0.9035 0.5000 0.3750  1 Rh 2.68, 2 Tl 2.80, 2 Pm 2.95